First-principles (PBE) data for a geometry-optimized Be2Al2Cl structure, as listed in Alexandria via LeMat-Bulk.

The crystal system is tetragonal. The energy relative to the lowest polymorph listed for this composition comes out at 240 meV/atom. Its uncorrected formation energy is 0.510 eV per atom. The total energy comes out at -2.847 eV/atom.

It has space group I4/mmm (No. 139), with a = 4.156 Å, b = 4.156 Å, c = 9.759 Å, α = 90.00°, β = 90.00° and γ = 90.00°. The distinct sites, in fractional coordinates, are Be at (0.000, 0.000, 0.112), Al at (0.000, 0.500, 0.250) and Cl at (0.000, 0.000, 0.500).